(1)
An optimized crystal structure of Pm5Fe2Cl2, computed with PBE.

Lattice parameters (Å, degrees): 8.086 7.433 8.576 90.00 61.87 90.00
Site moments in Bohr magnetons follow the coordinates.
Sites, in units of the cell vectors:
1 Pm 0.000 0.000 0.000  -0.26
2 Pm 0.500 0.500 0.000  -0.26
3 Pm 0.450 0.149 0.753  -0.16
4 Pm 0.797 0.851 0.753  -0.16
5 Pm 0.297 0.649 0.753  -0.16
6 Pm 0.950 0.351 0.753  -0.16
7 Pm 0.550 0.851 0.247  -0.16
8 Pm 0.203 0.149 0.247  -0.16
9 Pm 0.703 0.351 0.247  -0.16
10 Pm 0.050 0.649 0.247  -0.16
11 Fe 0.109 0.385 0.000  1.56
12 Fe 0.891 0.615 0.000  1.56
13 Fe 0.391 0.885 0.000  1.56
14 Fe 0.609 0.115 0.000  1.56
15 Cl 0.201 0.000 0.597  -0.01
16 Cl 0.701 0.500 0.597  -0.01
17 Cl 0.799 0.000 0.403  -0.01
18 Cl 0.299 0.500 0.403  -0.01

E_form (uncorrected) in eV per formula unit: -4.609
E in eV/atom: -5.442
N(E_F) in states/eV/cell: 17.1

***

(2)
An optimized crystal structure of SrDyIrAu, computed with PBE.

Lattice parameters (Å, degrees): 5.076 5.076 5.076 60.00 60.00 60.00
Sites, in units of the cell vectors:
1 Sr 0.250 0.250 0.250
2 Ir 0.500 0.500 0.500
3 Au 0.000 0.000 0.000
4 Dy 0.750 0.750 0.750

E in eV/atom: -5.130
ΔH_f (0 K) in eV/atom: -0.525
N(E_F) in states/eV/cell: 1.8

***

(3)
An optimized crystal structure of MnZnPt2, computed with PBE.

Lattice parameters (Å, degrees): 5.820 5.820 5.820 55.39 153.06 132.58
Site moments in Bohr magnetons follow the coordinates.
Sites, in units of the cell vectors:
1 Mn 0.000 0.000 0.000  3.57
2 Zn 0.000 0.500 0.500  -0.03
3 Pt 0.000 0.247 0.247  0.08
4 Pt 0.000 0.753 0.753  0.08

E in eV/atom: -5.570
ΔH_f (0 K) in eV/atom: 0.062
N(E_F) in states/eV/cell: 2.3